a | A relaxed structure of KYS2N. Source: Alexandria via LeMat-Bulk, functional PBE-GGA.

## Properties
Fermi-level density of states = 0.7529 states/eV per atom

Geometry as CIF:
```
data_KYS2N
_chemical_formula_sum 'K1 Y1 S2 N1'
_cell_length_a 5.3568
_cell_length_b 5.3568
_cell_length_c 4.7348
_cell_angle_alpha 90.00
_cell_angle_beta 90.00
_cell_angle_gamma 90.00
_space_group_name_H-M_alt 'P 4/m m m'
_space_group_IT_number 123
_space_group_name_Hall '-P 4 2'
loop_
_atom_site_label
_atom_site_fract_x
_atom_site_fract_y
_atom_site_fract_z
K1 0.0000 0.0000 0.0000
Y1 0.5000 0.5000 0.5000
S1 0.0000 0.5000 0.5000
N1 0.5000 0.5000 0.0000
```


b | A relaxed structure of KYS2N. Source: Alexandria via LeMat-Bulk, functional PBE-GGA.

## Properties
Fermi-level density of states = 0.5116 states/eV per atom

Geometry as CIF:
```
data_KYS2N
_chemical_formula_sum 'K1 Y1 S2 N1'
_cell_length_a 5.2650
_cell_length_b 5.2650
_cell_length_c 4.2285
_cell_angle_alpha 90.00
_cell_angle_beta 90.00
_cell_angle_gamma 90.00
_space_group_name_H-M_alt 'P 4/m m m'
_space_group_IT_number 123
_space_group_name_Hall '-P 4 2'
loop_
_atom_site_label
_atom_site_fract_x
_atom_site_fract_y
_atom_site_fract_z
K1 0.0000 0.0000 0.0000
Y1 0.5000 0.5000 0.5000
S1 0.0000 0.5000 0.0000
N1 0.0000 0.0000 0.5000
```


The energy of each structure relative to the most stable one, in meV/atom, is as follows: a 0; b 1260.